# DyTm4Al

An optimized crystal structure of DyTm4Al (PBE-GGA, the Alexandria database).

abc: 5.253 10.810 6.464
angles: 90.00 113.97 90.00
Sites, in units of the cell vectors:
Tm  0.474  0.945  0.948
Tm  0.679  0.162  0.357
Tm  0.818  0.447  0.636
Dy  0.680  0.732  0.360
Tm  0.321  0.662  0.643
Tm  0.999  0.698  0.998
Tm  0.001  0.198  0.002
Al  0.848  0.949  0.696
Tm  0.526  0.445  0.052
Al  0.152  0.449  0.304
Dy  0.320  0.232  0.640
Tm  0.182  0.947  0.364

polymorph energy (0 for the lowest one): 0.17 eV per formula unit
formation enthalpy at 0 K: -96 meV/atom
DOS(E_F): 11.76 states/eV/cell
spin magnetization: 0.000 μB/f.u.